AgPAu2: optimized geometry, PBEsol.

DFT total energy	-16.18	eV per formula unit
size of the total moment	0.00	μB per formula unit

```
data_AgPAu2
_chemical_formula_sum 'Ag1 P1 Au2'
_cell_length_a 3.144
_cell_length_b 3.419
_cell_length_c 6.078
_cell_angle_alpha 90.00
_cell_angle_beta 90.00
_cell_angle_gamma 90.00
_space_group_name_H-M_alt 'P m m m'
_space_group_IT_number 47
loop_
_space_group_symop_operation_xyz
'x,y,z'
'-x,-y,-z'
'-x,-y,z'
'x,y,-z'
'x,-y,-z'
'-x,y,z'
'-x,y,-z'
'x,-y,z'
loop_
_atom_site_label
_atom_site_type_symbol
_atom_site_fract_x
_atom_site_fract_y
_atom_site_fract_z
Ag1 Ag 0.000 0.000 0.000
P1 P 0.000 0.000 0.500
Au1 Au 0.500 0.500 0.265
```

Ag2PAu: optimized geometry, PBEsol.

DFT total energy	-15.60	eV per formula unit
size of the total moment	0.00	μB per formula unit

```
data_Ag2PAu
_chemical_formula_sum 'Ag4 P2 Au2'
_cell_length_a 3.922
_cell_length_b 3.922
_cell_length_c 8.464
_cell_angle_alpha 90.00
_cell_angle_beta 90.00
_cell_angle_gamma 90.00
_space_group_name_H-M_alt 'I 4/m m m'
_space_group_IT_number 139
_space_group_name_Hall '-I 4 2'
loop_
_atom_site_label
_atom_site_type_symbol
_atom_site_fract_x
_atom_site_fract_y
_atom_site_fract_z
Ag1 Ag 0.000 0.500 0.250
P1 P 0.000 0.000 0.000
Au1 Au 0.000 0.000 0.500
```

AgP4Au: optimized geometry, PBEsol.

DFT total energy	-30.48	eV per formula unit
energy above the lowest structure with this stoichiometry	0	meV/atom
size of the total moment	0.00	μB per formula unit

```
data_AgP4Au
_chemical_formula_sum 'Ag1 P4 Au1'
_cell_length_a 3.211
_cell_length_b 4.826
_cell_length_c 7.720
_cell_angle_alpha 89.81
_cell_angle_beta 89.55
_cell_angle_gamma 71.89
_space_group_name_H-M_alt 'P -1'
_space_group_IT_number 2
loop_
_space_group_symop_operation_xyz
'x,y,z'
'-x,-y,-z'
loop_
_atom_site_label
_atom_site_type_symbol
_atom_site_fract_x
_atom_site_fract_y
_atom_site_fract_z
Ag1 Ag 0.000 0.000 0.000
P1 P 0.172 0.660 0.741
P2 P 0.178 0.661 0.259
Au1 Au 0.000 0.000 0.500
```

Ag2PAu: optimized geometry, PBEsol.

DFT total energy	-15.74	eV per formula unit
size of the total moment	0.00	μB per formula unit

```
data_Ag2PAu
_chemical_formula_sum 'Ag6 P3 Au3'
_cell_length_a 2.9134
_cell_length_b 2.9134
_cell_length_c 26.4778
_cell_angle_alpha 90.00
_cell_angle_beta 90.00
_cell_angle_gamma 120.00
_space_group_name_H-M_alt 'R -3 m'
_space_group_IT_number 166
_space_group_name_Hall '-R 3 2"'
loop_
_atom_site_label
_atom_site_type_symbol
_atom_site_fract_x
_atom_site_fract_y
_atom_site_fract_z
Ag1 Ag 0.0000 0.0000 0.2457
P1 P 0.0000 0.0000 0.5000
Au1 Au 0.0000 0.0000 0.0000
```

AgP4Au: optimized geometry, PBEsol.

DFT total energy	-27.03	eV per formula unit
energy above the lowest structure with this stoichiometry	575	meV/atom
size of the total moment	0.00	μB per formula unit

```
data_AgP4Au
_chemical_formula_sum 'Ag4 P16 Au4'
_cell_length_a 7.536
_cell_length_b 7.536
_cell_length_c 7.536
_cell_angle_alpha 90.00
_cell_angle_beta 90.00
_cell_angle_gamma 90.00
_space_group_name_H-M_alt 'F -4 3 m'
_space_group_IT_number 216
_space_group_name_Hall 'F -4 2 3'
loop_
_atom_site_label
_atom_site_type_symbol
_atom_site_fract_x
_atom_site_fract_y
_atom_site_fract_z
Ag1 Ag 0.000 0.000 0.000
P1 P 0.106 0.106 0.606
Au1 Au 0.250 0.250 0.250
```

AgP2Au: optimized geometry, PBEsol.

DFT total energy	-17.77	eV per formula unit
size of the total moment	0.00	μB per formula unit

```
data_AgP2Au
_chemical_formula_sum 'Ag3 P6 Au3'
_cell_length_a 3.6702
_cell_length_b 3.6702
_cell_length_c 17.5919
_cell_angle_alpha 90.00
_cell_angle_beta 90.00
_cell_angle_gamma 120.00
_space_group_name_H-M_alt 'R -3 m'
_space_group_IT_number 166
_space_group_name_Hall '-R 3 2"'
loop_
_atom_site_label
_atom_site_type_symbol
_atom_site_fract_x
_atom_site_fract_y
_atom_site_fract_z
Ag1 Ag 0.0000 0.0000 0.0000
P1 P 0.0000 0.0000 0.2429
Au1 Au 0.0000 0.0000 0.5000
```

AgPbAu: optimized geometry, PBEsol.

DFT total energy	-11.09	eV per formula unit
energy above the lowest structure with this stoichiometry	0	meV/atom
size of the total moment	0.00	μB per formula unit

```
data_AgPbAu
_chemical_formula_sum 'Ag2 Pb2 Au2'
_cell_length_a 3.651
_cell_length_b 3.833
_cell_length_c 8.766
_cell_angle_alpha 90.00
_cell_angle_beta 90.00
_cell_angle_gamma 90.00
_space_group_name_H-M_alt 'I m m 2'
_space_group_IT_number 44
loop_
_space_group_symop_operation_xyz
'x,y,z'
'-x,-y,z'
'-x,y,z'
'x,-y,z'
'x+1/2,y+1/2,z+1/2'
'-x+1/2,-y+1/2,z+1/2'
'-x+1/2,y+1/2,z+1/2'
'x+1/2,-y+1/2,z+1/2'
loop_
_atom_site_label
_atom_site_type_symbol
_atom_site_fract_x
_atom_site_fract_y
_atom_site_fract_z
Ag1 Ag 0.000 0.000 0.000
Pb1 Pb 0.000 0.000 0.327
Au1 Au 0.000 0.000 0.659
```

Ag2PbAu: optimized geometry, PBEsol.

DFT total energy	-14.35	eV per formula unit
size of the total moment	0.00	μB per formula unit

```
data_Ag2PbAu
_chemical_formula_sum 'Ag4 Pb2 Au2'
_cell_length_a 4.248
_cell_length_b 4.248
_cell_length_c 8.476
_cell_angle_alpha 90.00
_cell_angle_beta 90.00
_cell_angle_gamma 90.00
_space_group_name_H-M_alt 'I 4/m m m'
_space_group_IT_number 139
_space_group_name_Hall '-I 4 2'
loop_
_atom_site_label
_atom_site_type_symbol
_atom_site_fract_x
_atom_site_fract_y
_atom_site_fract_z
Ag1 Ag 0.000 0.500 0.250
Pb1 Pb 0.000 0.000 0.000
Au1 Au 0.000 0.000 0.500
```

AgPbAu4: optimized geometry, PBEsol.

DFT total energy	-22.71	eV per formula unit
size of the total moment	0.00	μB per formula unit

```
data_AgPbAu4
_chemical_formula_sum 'Ag4 Pb4 Au16'
_cell_length_a 7.762
_cell_length_b 7.762
_cell_length_c 7.762
_cell_angle_alpha 90.00
_cell_angle_beta 90.00
_cell_angle_gamma 90.00
_space_group_name_H-M_alt 'F -4 3 m'
_space_group_IT_number 216
_space_group_name_Hall 'F -4 2 3'
loop_
_atom_site_label
_atom_site_type_symbol
_atom_site_fract_x
_atom_site_fract_y
_atom_site_fract_z
Ag1 Ag 0.000 0.000 0.000
Pb1 Pb 0.250 0.250 0.750
Au1 Au 0.125 0.125 0.375
```

Ag2PbAu: optimized geometry, PBEsol.

DFT total energy	-14.35	eV per formula unit
size of the total moment	0.00	μB per formula unit

```
data_Ag2PbAu
_chemical_formula_sum 'Ag2 Pb1 Au1'
_cell_length_a 3.234
_cell_length_b 3.681
_cell_length_c 6.556
_cell_angle_alpha 90.00
_cell_angle_beta 90.00
_cell_angle_gamma 90.00
_space_group_name_H-M_alt 'P m m m'
_space_group_IT_number 47
loop_
_space_group_symop_operation_xyz
'x,y,z'
'-x,-y,-z'
'-x,-y,z'
'x,y,-z'
'x,-y,-z'
'-x,y,z'
'-x,y,-z'
'x,-y,z'
loop_
_atom_site_label
_atom_site_type_symbol
_atom_site_fract_x
_atom_site_fract_y
_atom_site_fract_z
Ag1 Ag 0.000 0.000 0.217
Pb1 Pb 0.500 0.500 0.500
Au1 Au 0.500 0.500 0.000
```

AgPb2Au: optimized geometry, PBEsol.

DFT total energy	-15.03	eV per formula unit
energy above the lowest structure with this stoichiometry	55	meV/atom
size of the total moment	0.00	μB per formula unit

```
data_AgPb2Au
_chemical_formula_sum 'Ag2 Pb4 Au2'
_cell_length_a 11.081
_cell_length_b 3.320
_cell_length_c 5.196
_cell_angle_alpha 90.00
_cell_angle_beta 109.06
_cell_angle_gamma 90.00
_space_group_name_H-M_alt 'C 1 m 1'
_space_group_IT_number 8
loop_
_space_group_symop_operation_xyz
'x,y,z'
'x,-y,z'
'x+1/2,y+1/2,z'
'x+1/2,-y+1/2,z'
loop_
_atom_site_label
_atom_site_type_symbol
_atom_site_fract_x
_atom_site_fract_y
_atom_site_fract_z
Ag1 Ag 0.000 0.000 0.000
Pb1 Pb 0.244 0.000 0.827
Pb2 Pb 0.456 0.000 0.471
Au1 Au 0.203 0.500 0.305
```

Ag2PbAu: optimized geometry, PBEsol.

DFT total energy	-14.38	eV per formula unit
size of the total moment	0.00	μB per formula unit

```
data_Ag2PbAu
_chemical_formula_sum 'Ag4 Pb2 Au2'
_cell_length_a 4.450
_cell_length_b 4.450
_cell_length_c 7.772
_cell_angle_alpha 90.00
_cell_angle_beta 90.00
_cell_angle_gamma 90.00
_space_group_name_H-M_alt 'I -4 m 2'
_space_group_IT_number 119
_space_group_name_Hall 'I -4 -2'
loop_
_atom_site_label
_atom_site_type_symbol
_atom_site_fract_x
_atom_site_fract_y
_atom_site_fract_z
Ag1 Ag 0.000 0.000 0.000
Ag2 Ag 0.000 0.500 0.250
Pb1 Pb 0.000 0.000 0.500
Au1 Au 0.000 0.500 0.750
```

- Which formula does entry 12 have?
  Ag2PbAu